This record from Alexandria describes TbHfMg2 after structural relaxation. The functional is PBE-GGA.

Output
As for the crystal system: cubic. The calculation puts the formation energy from the elements at 0.5 eV/f.u. The distance to the lowest polymorph of the same formula comes out at 20.3 meV/atom. Its symmetry is No. 225.

Lattice parameters (Å, degrees): 5.143 5.143 5.143 60.00 60.00 60.00
Positions (direct):
Tb (0.000, 0.000, 0.000)
Mg (0.250, 0.250, 0.250)
Mg (0.750, 0.750, 0.750)
Hf (0.500, 0.500, 0.500)

---

This record from Alexandria describes Tb2HfMg after structural relaxation. The functional is PBE-GGA.

Output
As for the crystal system: trigonal. The calculation puts the formation energy from the elements at 0.4 eV/f.u. The distance to the lowest polymorph of the same formula comes out at 72.9 meV/atom. Its symmetry is No. 160.

Lattice parameters (Å, degrees): 3.363 3.363 11.317 81.46 81.46 60.00
Positions (direct):
Tb (0.079, 0.079, 0.763)
Tb (0.254, 0.254, 0.237)
Hf (0.667, 0.667, 0.000)
Mg (0.500, 0.500, 0.500)

---

Question: Number 2 is which compound?
Answer: Tb2HfMg

---

Question: What is the formation energy from the elements in the first record?
Answer: 0.5 eV/f.u.

---

Question: Which of these has the lowest formation energy from the elements?
Answer: Tb2HfMg

---

Copy entry 1 word for word.
This record from Alexandria describes TbHfMg2 after structural relaxation. The functional is PBE-GGA.

Output
As for the crystal system: cubic. The calculation puts the formation energy from the elements at 0.5 eV/f.u. The distance to the lowest polymorph of the same formula comes out at 20.3 meV/atom. Its symmetry is No. 225.

Lattice parameters (Å, degrees): 5.143 5.143 5.143 60.00 60.00 60.00
Positions (direct):
Tb (0.000, 0.000, 0.000)
Mg (0.250, 0.250, 0.250)
Mg (0.750, 0.750, 0.750)
Hf (0.500, 0.500, 0.500)